The following is a DFT calculation (PBE) of crystalline Sr2LaScSe at its relaxed geometry.

Computed properties:
The volume comes out at 216.2 Å³/f.u. The value obtained for the final energy is -3.52 eV/atom.

abc: 6.616 6.616 4.939
angles: 90.00 90.00 90.00
Space group P4/mmm (No. 123)
Symmetry-distinct sites (fractional):
Sr  0.000  0.500  0.000 [2 per cell]
La  0.000  0.000  0.500 [1 per cell]
Sc  0.500  0.500  0.000 [1 per cell]
Se  0.500  0.500  0.500 [1 per cell]